[1]
Here is HfSc after structural relaxation from the Alexandria database. Energies are from GGA-PBEsol.

Computed properties:
volume = 22.086 A^3/atom
ΔH_f (0 K) = 0.04 eV per formula unit

abc: 3.1912 3.1912 5.0084
angles: 90.00 90.00 120.00
With the nearest neighbours (Å) after each atom.
Sites, in units of the cell vectors:
Sc 0.3333 0.6667 0.0000  6 Hf 3.11, 6 Sc 3.19
Hf 0.6667 0.3333 0.5000  6 Sc 3.11, 6 Hf 3.19

***

[2]
Here is HfScSe3 after structural relaxation from the Alexandria database. Energies are from GGA-PBEsol.

Computed properties:
energy = -6.4106 eV/atom
volume = 25.866 A^3/atom

abc: 5.0571 5.0571 5.0571
angles: 90.00 90.00 90.00
With the nearest neighbours (Å) after each atom.
Sites, in units of the cell vectors:
Hf 0.0000 0.0000 0.0000  6 Se 2.53
Se 0.0000 0.5000 0.0000  2 Hf 2.53
Sc 0.5000 0.5000 0.5000  12 Se 3.58
Se 0.5000 0.0000 0.0000  2 Hf 2.53
Se 0.0000 0.0000 0.5000  2 Hf 2.53

***

[3]
Here is HfSc2Se after structural relaxation from the Alexandria database. Energies are from GGA-PBEsol.

Computed properties:
energy = -7.2222 eV/atom
volume = 22.464 A^3/atom

abc: 3.3648 3.3648 9.3678
angles: 79.65 79.65 60.00
With the nearest neighbours (Å) after each atom.
Sites, in units of the cell vectors:
Se 0.5000 0.5000 0.5000  6 Sc 2.61
Sc 0.1033 0.1033 0.6901  3 Se 2.61, 1 Hf 2.84
Hf 0.0000 0.0000 0.0000  2 Sc 2.84
Sc 0.8967 0.8967 0.3099  3 Se 2.61, 1 Hf 2.84

***

[4]
Here is HfScSi2 after structural relaxation from the Alexandria database. Energies are from GGA-PBEsol.

Computed properties:
volume = 18.386 A^3/atom
distance to the lowest polymorph of the same formula = 2.23 eV/f.u.

abc: 5.8142 5.8142 5.8142
angles: 104.29 104.29 120.42
With the nearest neighbours (Å) after each atom.
Sites, in units of the cell vectors:
Sc 0.7500 0.2500 0.5000  4 Si 2.63, 2 Hf 2.89
Si 0.6250 0.6256 0.5006  2 Hf 2.62, 2 Sc 2.63, 2 Si 2.89
Si 0.3744 0.8750 0.9994  2 Hf 2.62, 2 Sc 2.63, 2 Si 2.89
Sc 0.5000 0.5000 0.0000  4 Si 2.63, 2 Hf 2.89
Si 0.1250 0.1244 0.4994  2 Hf 2.62, 2 Sc 2.63, 2 Si 2.89
Si 0.8756 0.3750 0.0006  2 Hf 2.62, 2 Sc 2.63, 2 Si 2.89
Hf 0.0000 0.0000 0.0000  4 Si 2.62, 2 Sc 2.89
Hf 0.2500 0.7500 0.5000  4 Si 2.62, 2 Sc 2.89

***

[5]
Here is Hf2ScSi2 after structural relaxation from the Alexandria database. Energies are from GGA-PBEsol.

Computed properties:
energy = -8.6308 eV/atom
volume = 17.755 A^3/atom

abc: 3.6320 6.9918 6.9918
angles: 90.00 90.00 90.00
With the nearest neighbours (Å) after each atom.
Sites, in units of the cell vectors:
Si 0.0000 0.1239 0.3761  1 Si 2.45, 2 Hf 2.71
Hf 0.5000 0.1721 0.6721  6 Si 2.71-2.77
Si 0.0000 0.3761 0.8761  1 Si 2.45, 2 Hf 2.71
Si 0.0000 0.6239 0.1239  1 Si 2.45, 2 Hf 2.71
Hf 0.5000 0.8279 0.3279  6 Si 2.71-2.77
Sc 0.0000 0.5000 0.5000  4 Si 2.77
Hf 0.5000 0.6721 0.8279  6 Si 2.71-2.77
Hf 0.5000 0.3279 0.1721  6 Si 2.71-2.77
Sc 0.0000 0.0000 0.0000  4 Si 2.77
Si 0.0000 0.8761 0.6239  1 Si 2.45, 2 Hf 2.71

***

[6]
Here is Hf3ScSi after structural relaxation from the Alexandria database. Energies are from GGA-PBEsol.

Computed properties:
energy = -8.5510 eV/atom
volume = 23.525 A^3/atom

abc: 4.8997 4.8997 4.8997
angles: 90.00 90.00 90.00
With the nearest neighbours (Å) after each atom.
Sites, in units of the cell vectors:
Hf 0.5000 0.0000 0.0000  2 Si 2.45
Hf 0.0000 0.0000 0.5000  2 Si 2.45
Hf 0.0000 0.5000 0.0000  2 Si 2.45
Si 0.0000 0.0000 0.0000  6 Hf 2.45
Sc 0.5000 0.5000 0.5000  12 Hf 3.46

***

[7]
Here is Hf3ScSi4 after structural relaxation from the Alexandria database. Energies are from GGA-PBEsol.

Computed properties:
energy = -8.5308 eV/atom
volume = 16.811 A^3/atom

abc: 3.7070 5.2324 6.9337
angles: 90.26 90.00 90.00
With the nearest neighbours (Å) after each atom.
Sites, in units of the cell vectors:
Hf 0.0000 0.1218 0.8230  7 Si 2.70-2.87
Hf 0.5000 0.6259 0.6791  7 Si 2.68-2.88
Hf 0.5000 0.8761 0.1743  7 Si 2.69-2.89
Sc 0.0000 0.3752 0.3242  7 Si 2.69-2.90
Si 0.5000 0.3612 0.0423  2 Si 2.43, 2 Sc 2.69, 3 Hf 2.70
Si 0.5000 0.1412 0.5412  2 Si 2.43, 2 Sc 2.69, 3 Hf 2.70-2.71
Si 0.0000 0.8598 0.4581  2 Si 2.43, 1 Sc 2.70, 4 Hf 2.70
Si 0.0000 0.6389 0.9577  2 Si 2.43, 5 Hf 2.68-2.70

***

[8]
Here is HfScSi2 after structural relaxation from the Alexandria database. Energies are from GGA-PBEsol.

Computed properties:
volume = 17.021 A^3/atom
distance to the lowest polymorph of the same formula = 0.00 eV/f.u.

abc: 3.6836 3.7829 5.2392
angles: 111.16 90.00 90.00
With the nearest neighbours (Å) after each atom.
Sites, in units of the cell vectors:
Sc 0.0000 0.1423 0.2847  7 Si 2.69-2.90
Hf 0.5000 0.8592 0.7184  7 Si 2.70-2.88
Si 0.5000 0.5810 0.1621  2 Si 2.44, 4 Sc 2.71, 1 Hf 2.72
Si 0.0000 0.4174 0.8348  2 Si 2.44, 1 Sc 2.69, 4 Hf 2.70

***

[9]
Here is Hf5Sc5Si6 after structural relaxation from the Alexandria database. Energies are from GGA-PBEsol.

Computed properties:
energy = -8.2888 eV/atom
volume = 18.528 A^3/atom

abc: 5.5982 7.8126 7.8231
angles: 119.96 90.00 90.00
With the nearest neighbours (Å) after each atom.
Sites, in units of the cell vectors:
Hf 0.7504 0.3330 0.6677  6 Si 2.77-2.79, 2 Hf 2.79-2.80
Sc 0.5000 0.0004 0.7559  3 Si 2.69-2.81
Hf 0.7504 0.6652 0.3323  6 Si 2.77-2.79, 2 Hf 2.79-2.80
Hf 0.2496 0.6652 0.3323  6 Si 2.77-2.79, 2 Hf 2.79-2.80
Sc 0.0000 0.7579 0.7568  3 Si 2.69-2.84
Si 0.5000 0.0002 0.3967  3 Sc 2.71-2.81, 4 Hf 2.78
Hf 0.0000 0.2471 0.0000  3 Si 2.70-2.78
Hf 0.2496 0.3330 0.6677  6 Si 2.77-2.79, 2 Hf 2.79-2.80
Sc 0.5000 0.2445 0.2441  3 Si 2.69-2.81
Si 0.5000 0.6035 0.6033  3 Sc 2.71-2.81, 4 Hf 2.78
Si 0.0000 0.3948 0.3945  2 Sc 2.69-2.84, 5 Hf 2.70-2.79
Sc 0.5000 0.7556 0.0000  3 Si 2.71-2.82
Si 0.0000 0.6036 0.0000  2 Sc 2.71, 5 Hf 2.77-2.78
Si 0.0000 0.0004 0.6055  2 Sc 2.69-2.84, 5 Hf 2.70-2.79
Sc 0.0000 0.0011 0.2432  3 Si 2.69-2.84
Si 0.5000 0.3946 0.0000  3 Sc 2.69-2.82, 4 Hf 2.78

***

[10]
Here is HfScSn2 after structural relaxation from the Alexandria database. Energies are from GGA-PBEsol.

Computed properties:
volume = 21.762 A^3/atom
ΔH_f (0 K) = -1.16 eV per formula unit

abc: 4.9746 4.9746 4.9746
angles: 60.00 60.00 60.00
With the nearest neighbours (Å) after each atom.
Sites, in units of the cell vectors:
Sc 0.0000 0.0000 0.0000  8 Sn 3.05
Hf 0.5000 0.5000 0.5000  8 Sn 3.05
Sn 0.2500 0.2500 0.2500  4 Hf 3.05, 4 Sc 3.05
Sn 0.7500 0.7500 0.7500  4 Sc 3.05, 4 Hf 3.05

***

[11]
Here is Sr2HfSc2 after structural relaxation from the Alexandria database. Energies are from GGA-PBEsol.

Computed properties:
volume = 33.078 A^3/atom
ΔH_f (0 K) = 3.86 eV per formula unit

abc: 3.8886 3.8886 11.2779
angles: 99.93 99.93 90.00
With the nearest neighbours (Å) after each atom.
Sites, in units of the cell vectors:
Sr 0.6053 0.6053 0.2107  4 Hf 3.59, 4 Sc 3.71, 4 Sr 3.89
Sr 0.3947 0.3947 0.7893  4 Hf 3.59, 4 Sc 3.71, 4 Sr 3.89
Sc 0.7500 0.2500 0.5000  4 Sc 2.75
Sc 0.2500 0.7500 0.5000  4 Sc 2.75
Hf 0.0000 0.0000 0.0000  8 Sr 3.59, 4 Hf 3.89

***

[12]
Here is Hf2ScTaTl after structural relaxation from the Alexandria database. Energies are from GGA-PBEsol.

Computed properties:
volume = 27.451 A^3/atom
ΔH_f (0 K) = 7.64 eV per formula unit

abc: 5.1205 5.1774 5.1774
angles: 90.00 90.00 90.00
With the nearest neighbours (Å) after each atom.
Sites, in units of the cell vectors:
Sc 0.5000 0.5000 0.5000  8 Hf 3.64, 4 Ta 3.66
Hf 0.0000 0.0000 0.5000  2 Tl 2.59
Hf 0.0000 0.5000 0.0000  2 Tl 2.59
Ta 0.5000 0.0000 0.0000  2 Tl 2.56
Tl 0.0000 0.0000 0.0000  2 Ta 2.56, 4 Hf 2.59